1.
VASP calculation (GGA-PBEsol) on crystalline RhI3O at its relaxed geometry. Values from VASP.

Computed properties:
The calculation puts the uncorrected formation energy at 351 kJ/mol of formula units.

```
&SYSTEM
  ibrav = 0, nat = 5, ntyp = 3
/
ATOMIC_SPECIES
Rh 102.91 Rh.upf
I 126.90 I.upf
O 16.00 O.upf
CELL_PARAMETERS angstrom
5.271 0.000 0.000
0.000 5.271 0.000
0.000 0.000 5.271
ATOMIC_POSITIONS angstrom
Rh 0.000 0.000 0.000
I 0.000 0.000 2.635
I 0.000 2.635 0.000
I 2.635 0.000 0.000
O 2.635 2.635 2.635
```

2.
VASP calculation (GGA-PBEsol) on crystalline MoAs4 at its relaxed geometry. Values from VASP.

Computed properties:
The value obtained for the formation energy is 0.374 eV/atom.

```
&SYSTEM
  ibrav = 0, nat = 10, ntyp = 2
/
ATOMIC_SPECIES
Mo 95.94 Mo.upf
As 74.92 As.upf
CELL_PARAMETERS angstrom
5.886 0.000 0.000
0.000 5.886 0.000
0.000 0.000 5.886
ATOMIC_POSITIONS angstrom
Mo 0.000 0.000 0.000
Mo 2.943 2.943 2.943
As 1.472 1.472 1.472
As 1.472 1.472 4.415
As 1.472 4.415 1.472
As 1.472 4.415 4.415
As 4.415 1.472 1.472
As 4.415 1.472 4.415
As 4.415 4.415 1.472
As 4.415 4.415 4.415
```

3.
VASP calculation (GGA-PBEsol) on crystalline AlIO2 at its relaxed geometry. Values from VASP.

Computed properties:
The calculation puts the uncorrected formation energy at -104 kJ/mol of formula units. For the energy relative to the lowest polymorph listed for this composition, the calculation gives 116.31 kJ/mol of atoms.

```
&SYSTEM
  ibrav = 0, nat = 12, ntyp = 3
/
ATOMIC_SPECIES
Al 26.98 Al.upf
I 126.90 I.upf
O 16.00 O.upf
CELL_PARAMETERS angstrom
3.272 0.000 0.000
-1.636 2.834 0.000
0.000 0.000 21.486
ATOMIC_POSITIONS angstrom
Al 0.000 0.000 0.000
Al 0.000 1.889 14.324
Al 1.636 0.945 7.162
I 0.000 0.000 10.743
I 0.000 1.889 3.581
I 1.636 0.945 17.905
O 0.000 0.000 1.690
O 0.000 0.000 19.796
O 0.000 1.889 12.634
O 0.000 1.889 16.014
O 1.636 0.945 5.472
O 1.636 0.945 8.852
```

Computed values of electronic total energy (unit: eV per atom) for the preceding records, in sequence: -3.0096, -6.0648, -4.3590.